An optimized crystal structure of Tl2CoTcO6. Source: Alexandria via LeMat-Bulk, functional PBE with a Hubbard U.

Results
* M_tot: 3.03 μB/f.u.
* raw total energy: -59.43 eV for the cell shown
* SG: No. 148

```
10
Lattice="2.8355 1.6371 4.5474 -2.8355 1.6371 4.5474 0.0000 -3.2742 4.5474" Properties=species:S:1:pos:R:3 pbc="T T T"
Tl 0.0000 0.0000 3.3848
Tl 0.0000 0.0000 10.2574
Co 0.0000 0.0000 0.0000
Tc 0.0000 0.0000 6.8211
O -1.5347 0.4157 5.7148
O -1.1274 -1.1213 7.9273
O 0.4074 -1.5370 5.7148
O -0.4074 1.5370 7.9273
O 1.1274 1.1213 5.7148
O 1.5347 -0.4157 7.9273
```